{"formula": "Ba3OsBr2O6", "functional": "PBE-GGA", "state": "optimized geometry", "lattice_angstrom": [[6.458, -3.589, 0.000], [6.458, 3.589, 0.000], [-0.567, 0.000, 6.164]], "species": ["Ba", "Ba", "Ba", "Os", "Br", "Br", "O", "O", "O", "O", "O", "O"], "fractional_positions": [[0.000, 0.000, 0.000], [0.000, 0.500, 0.500], [0.500, 0.000, 0.500], [0.500, 0.500, 0.500], [0.231, 0.231, 0.917], [0.769, 0.769, 0.083], [0.261, 0.643, 0.678], [0.357, 0.739, 0.322], [0.368, 0.368, 0.346], [0.632, 0.632, 0.654], [0.643, 0.261, 0.678], [0.739, 0.357, 0.322]], "raw_formation_energy_mev_per_atom": -1694.2}


{"formula": "Tl3Zn", "functional": "PBE-GGA", "state": "optimized geometry", "lattice_angstrom": [[3.475, 0.000, 0.000], [0.000, 11.145, 0.000], [0.000, 0.000, 5.740]], "species": ["Tl", "Tl", "Tl", "Tl", "Tl", "Tl", "Zn", "Zn"], "fractional_positions": [[0.000, 0.000, 0.000], [0.000, 0.216, 0.449], [0.000, 0.784, 0.449], [0.500, 0.284, 0.949], [0.500, 0.500, 0.500], [0.500, 0.716, 0.949], [0.000, 0.500, 0.045], [0.500, 0.000, 0.545]], "formation_enthalpy_0k_kj_per_mol_atoms": 10, "dos_at_fermi_per_ev_fu": 2.1}


{"formula": "SrCd2Cl", "functional": "PBE-GGA", "state": "optimized geometry", "lattice_angstrom": [[4.310, 0.000, 0.000], [0.000, 4.108, 0.000], [-2.132, 0.000, 6.754]], "species": ["Sr", "Cd", "Cd", "Cl"], "fractional_positions": [[0.000, 0.000, 0.000], [0.278, 0.000, 0.543], [0.792, 0.500, 0.571], [0.533, 0.500, 0.066]], "raw_formation_energy_mev_per_atom": -804.8, "polymorph_energy_mev_per_atom": 6, "dos_at_fermi_per_ev_fu": 2.6}


{"formula": "CuAg2F", "functional": "PBE-GGA", "state": "optimized geometry", "lattice_angstrom": [[6.742, 0.000, 0.000], [0.000, 6.742, 0.000], [0.000, 0.000, 5.647]], "species": ["Cu", "Cu", "Cu", "Cu", "Ag", "Ag", "Ag", "Ag", "Ag", "Ag", "Ag", "Ag", "F", "F", "F", "F"], "fractional_positions": [[0.000, 0.000, 0.000], [0.000, 0.500, 0.250], [0.500, 0.000, 0.750], [0.500, 0.500, 0.500], [0.223, 0.750, 0.625], [0.250, 0.223, 0.375], [0.250, 0.277, 0.875], [0.277, 0.750, 0.125], [0.723, 0.250, 0.125], [0.750, 0.723, 0.875], [0.750, 0.777, 0.375], [0.777, 0.250, 0.625], [0.000, 0.000, 0.500], [0.000, 0.500, 0.750], [0.500, 0.000, 0.250], [0.500, 0.500, 0.000]], "raw_formation_energy_mev_per_atom": -194.5, "polymorph_energy_mev_per_atom": 32, "dos_at_fermi_per_ev_fu": 1.2}


no.,uncorrected energy (eV per atom)
1,-5.87
2,-1.99
3,-2.14
4,-3.11